No. 1
11
Lattice="3.3679 0.0000 0.0000 0.0000 8.6511 0.0659 0.0000 -0.7534 10.2883" Properties=species:S:1:pos:R:3 comment="Na5Li2Pb4 PBE-GGA optimized geometry" density_g_cm3=5.30 formation_energy_ev_per_atom=-0.19 pbc="T T T"
Na 0.0000 4.4686 3.5555
Na 0.0000 1.0819 1.3655
Na 0.0000 4.3255 0.0330
Na 0.0000 6.8158 8.9887
Na 0.0000 3.4291 6.7987
Li 0.0000 0.1905 6.4716
Li 0.0000 7.7071 3.8826
Pb 1.6840 6.3183 6.0139
Pb 1.6840 1.1587 8.7667
Pb 1.6840 1.5793 4.3403
Pb 1.6840 6.7390 1.5875

No. 2
20
Lattice="4.5455 0.0000 0.0000 0.0000 10.9647 0.0000 0.0000 0.0000 10.9647" Properties=species:S:1:pos:R:3 comment="Na3Li2Pb5 PBE-GGA optimized geometry" density_g_cm3=6.80 formation_energy_ev_per_atom=-0.16 pbc="T T T"
Na 0.0000 3.5564 9.0387
Na 0.0000 7.4084 1.9260
Na 0.0000 1.9260 3.5564
Na 0.0000 9.0387 7.4084
Na 0.0000 0.0000 0.0000
Na 0.0000 5.4824 5.4824
Li 0.0000 1.2749 6.7573
Li 0.0000 9.6898 4.2075
Li 0.0000 4.2075 1.2749
Li 0.0000 6.7573 9.6898
Pb 2.2727 2.2982 0.8111
Pb 2.2727 8.6665 10.1537
Pb 2.2727 10.1537 2.2982
Pb 2.2727 0.8111 8.6665
Pb 2.2727 3.1842 6.2934
Pb 2.2727 7.7806 4.6713
Pb 2.2727 6.2934 7.7806
Pb 2.2727 4.6713 3.1842
Pb 2.2727 0.0000 5.4824
Pb 2.2727 5.4824 0.0000

No. 3
4
Lattice="3.5674 0.1437 0.0176 1.9081 3.0176 0.0176 1.8582 1.0728 9.9747" Properties=species:S:1:pos:R:3 comment="NaLi2Pb PBE-GGA optimized geometry" density_g_cm3=3.88 formation_energy_ev_per_atom=-0.07 e_above_lowest_polymorph_mev_per_atom=173 pbc="T T T"
Na 3.5394 2.0435 5.0015
Li 1.8510 1.0687 7.7598
Li 1.9178 1.1072 2.2278
Pb 3.6923 2.1318 0.0259

No. 4
3
Lattice="-1.8433 -2.6118 0.5144 4.1904 -2.9393 0.0921 -1.7551 2.0916 4.3304" Properties=species:S:1:pos:R:3 comment="NaLiPb PBE-GGA optimized geometry" density_g_cm3=5.36 formation_energy_ev_per_atom=-0.18 e_above_lowest_polymorph_mev_per_atom=35 pbc="T T T"
Pb 1.0414 -2.9161 1.8306
Na -0.1059 -0.1500 0.0295
Li -0.3435 -0.3933 3.0767